First-principles (GGA-PBE) data for a relaxed structure of Tb2Pr3Tm6Sc, as listed in the Alexandria database.

Values from the calculation:
Formation energy from the elements in meV per atom: 34

a b c (Å): 6.141 10.634 11.672
angles (deg): 90.00 100.09 90.00
Space group C2/m (No. 12)
Asymmetric unit:
Tb 0.000 0.166 0.000 (multiplicity 4)
Pr 0.000 0.000 0.500 (multiplicity 2)
Pr 0.000 0.333 0.500 (multiplicity 4)
Tm 0.246 0.335 0.244 (multiplicity 8)
Tm 0.250 0.000 0.244 (multiplicity 4)
Sc 0.000 0.500 0.000 (multiplicity 2)